No. 1
5
Lattice="5.675 0.000 0.000 0.000 5.675 0.000 0.000 0.000 6.418" Properties=species:S:1:pos:R:3 comment="CsLaMgMn2 GGA-PBE relaxed" space_group="P4/mmm (123)" formation_enthalpy_0k_kj_per_mol_atoms=106 pbc="T T T"
Cs 0.000 0.000 0.000
La 2.837 2.837 3.209
Mg 2.837 2.837 0.000
Mn 0.000 2.837 3.209
Mn 2.837 0.000 3.209

---

No. 2
5
Lattice="5.586 0.000 0.000 0.000 5.586 0.000 0.000 0.000 5.586" Properties=species:S:1:pos:R:3 comment="Na3ZnAs GGA-PBE relaxed" space_group="Pm-3m (221)" formation_enthalpy_0k_kj_per_mol_atoms=-9 relative_energy_mev_per_atom=76 pbc="T T T"
Na 0.000 0.000 2.793
Na 0.000 2.793 0.000
Na 2.793 0.000 0.000
Zn 2.793 2.793 2.793
As 0.000 0.000 0.000

---

No. 3
80
Lattice="-8.882 8.882 8.882 8.882 -8.882 8.882 8.882 8.882 -8.882" Properties=species:S:1:pos:R:3 comment="Ac3Tl12Ag5 GGA-PBE relaxed" space_group="Ia-3d (230)" formation_enthalpy_0k_kj_per_mol_atoms=20 pbc="T T T"
Ac 4.441 2.221 0.000
Ac 8.882 4.441 -2.221
Ac 2.221 0.000 4.441
Ac 11.103 0.000 4.441
Ac 0.000 4.441 2.221
Ac 4.441 -2.221 8.882
Ac 4.441 11.103 0.000
Ac 8.882 4.441 6.662
Ac -2.221 8.882 4.441
Ac 6.662 8.882 4.441
Ac 0.000 4.441 11.103
Ac 4.441 6.662 8.882
Tl 2.451 -0.712 1.202
Tl 10.872 5.643 -5.153
Tl 8.170 -1.202 2.451
Tl 14.035 -1.990 3.239
Tl 1.202 2.451 -0.712
Tl 12.121 3.729 -1.990
Tl 11.333 0.712 1.202
Tl 10.872 -3.239 5.153
Tl 5.643 5.153 -1.990
Tl 7.680 2.451 0.712
Tl -0.712 1.202 2.451
Tl 5.153 -1.990 5.643
Tl 8.170 7.680 -2.451
Tl 5.153 1.990 3.239
Tl 7.680 -2.451 8.170
Tl 5.643 -5.153 10.872
Tl 2.451 8.170 -1.202
Tl 10.872 3.239 3.729
Tl 3.239 5.153 1.990
Tl 10.084 6.431 0.712
Tl 5.153 10.872 -3.239
Tl 8.170 1.202 6.431
Tl 1.990 3.239 5.153
Tl 2.451 0.712 7.680
Tl 6.431 8.170 1.202
Tl 6.892 5.643 3.729
Tl 0.712 7.680 2.451
Tl 3.729 -1.990 12.121
Tl -1.202 2.451 8.170
Tl 5.643 3.729 6.892
Tl -1.990 5.643 5.153
Tl 6.431 0.712 10.084
Tl 3.239 14.035 -1.990
Tl 1.202 11.333 0.712
Tl 3.729 6.892 5.643
Tl 0.712 1.202 11.333
Tl 3.729 10.872 3.239
Tl 9.594 7.680 6.431
Tl 1.202 6.431 8.170
Tl 3.239 3.729 10.872
Tl -1.990 12.121 3.729
Tl -2.451 8.170 7.680
Tl -3.239 5.153 10.872
Tl 7.680 6.431 9.594
Tl -5.153 10.872 5.643
Tl 0.712 10.084 6.431
Tl -1.990 3.239 14.035
Tl 6.431 9.594 7.680
Ag 0.000 0.000 0.000
Ag 4.441 4.441 -4.441
Ag 4.441 -4.441 4.441
Ag 8.882 0.000 0.000
Ag 13.323 2.221 0.000
Ag 8.882 -4.441 6.662
Ag 6.662 8.882 -4.441
Ag 6.662 0.000 4.441
Ag 4.441 6.662 0.000
Ag 8.882 4.441 2.221
Ag -4.441 4.441 4.441
Ag 0.000 8.882 0.000
Ag 0.000 0.000 8.882
Ag 4.441 4.441 4.441
Ag 0.000 4.441 6.662
Ag 4.441 2.221 8.882
Ag 2.221 8.882 4.441
Ag 2.221 0.000 13.323
Ag 0.000 13.323 2.221
Ag -4.441 6.662 8.882

---

No. 4
7
Lattice="2.783 1.607 8.746 -2.783 1.607 8.746 0.000 -3.214 8.746" Properties=species:S:1:pos:R:3 comment="TbPm4Hg2 GGA-PBE relaxed" space_group="R-3m (166)" formation_enthalpy_0k_kj_per_mol_atoms=-2 pbc="T T T"
Tb 0.000 0.000 0.000
Pm 0.000 0.000 6.102
Pm 0.000 0.000 9.708
Pm 0.000 0.000 16.530
Pm 0.000 0.000 20.136
Hg 0.000 0.000 2.987
Hg 0.000 0.000 23.251

---

No. 5
5
Lattice="4.647 0.000 0.000 0.000 4.647 0.000 0.000 0.000 4.647" Properties=species:S:1:pos:R:3 comment="Fe3WAu GGA-PBE relaxed" space_group="Pm-3m (221)" formation_enthalpy_0k_kj_per_mol_atoms=188 relative_energy_mev_per_atom=472 pbc="T T T"
Fe 0.000 0.000 2.324
Fe 0.000 2.324 0.000
Fe 2.324 0.000 0.000
W 2.324 2.324 2.324
Au 0.000 0.000 0.000

---

No. 6
16
Lattice="4.266 0.000 0.000 0.000 4.266 0.000 0.000 0.000 17.197" Properties=species:S:1:pos:R:3 comment="Tb3NpGa12 GGA-PBE relaxed" space_group="P4/mmm (123)" formation_enthalpy_0k_kj_per_mol_atoms=-44 pbc="T T T"
Tb 0.000 0.000 0.000
Tb 0.000 0.000 4.298
Tb 0.000 0.000 12.899
Np 0.000 0.000 8.598
Ga 0.000 2.133 2.154
Ga 0.000 2.133 6.479
Ga 0.000 2.133 10.718
Ga 0.000 2.133 15.043
Ga 2.133 0.000 2.154
Ga 2.133 0.000 6.479
Ga 2.133 0.000 10.718
Ga 2.133 0.000 15.043
Ga 2.133 2.133 0.000
Ga 2.133 2.133 4.314
Ga 2.133 2.133 8.598
Ga 2.133 2.133 12.883

---

No. 7
4
Lattice="1.752 1.011 7.265 -1.752 1.011 7.265 0.000 -2.023 7.265" Properties=species:S:1:pos:R:3 comment="PtRhBr2 GGA-PBE relaxed" raw_formation_energy_mev_per_atom=520 space_group="R-3m (166)" relative_energy_mev_per_atom=553 pbc="T T T"
Pt 0.000 0.000 0.000
Rh 0.000 0.000 10.898
Br 0.000 0.000 5.288
Br 0.000 0.000 16.508

---

No. 8
11
Lattice="3.683 0.000 0.000 -0.004 5.217 0.000 -1.835 -2.603 20.234" Properties=species:S:1:pos:R:3 comment="La4Pr4Y3 GGA-PBE relaxed" space_group="P-1 (2)" formation_enthalpy_0k_kj_per_mol_atoms=2 relative_energy_mev_per_atom=0 pbc="T T T"
La 0.000 0.000 1.841
La 0.001 0.004 12.899
La 1.844 2.610 7.335
La 1.845 2.614 18.393
Pr 0.003 0.002 9.173
Pr 0.005 0.005 16.558
Pr 1.840 2.608 3.676
Pr 1.842 2.612 11.061
Y 0.002 0.000 5.488
Y 1.840 2.609 0.000
Y 1.843 2.613 14.746

---

Here are the calculated calculated total energy numbers, same order: -20.2 -10.3 -203.4 -24.3 -31.9 -70.4 -14.7 -58.0 (eV per cell).